# 1
# TbEr2Ir9

A geometry-optimized TbEr2Ir9 structure (PBE-GGA, Alexandria).

Results
As for the electronic total energy: -8.3874 eV per atom. The calculation puts the energy of formation at -595.3 meV/atom. The magnetization is 0.0 μB/cell. As for the space group: R-3m.

a b c (Å): 5.2994 5.2994 9.2785
angles (deg): 73.41 73.41 60.00
Last column: nearest neighbours and their distance in Å.
Atoms (fractional coordinates):
Tb 0.0000 0.0000 0.0000  18 Ir 3.06-3.42
Er 0.8607 0.8607 0.4180  12 Ir 3.04-3.31, 3 Er 3.38
Er 0.1393 0.1393 0.5820  12 Ir 3.04-3.31, 3 Er 3.38
Ir 0.6670 0.6670 0.9989  6 Ir 2.65-2.66
Ir 0.3330 0.3330 0.0011  6 Ir 2.65-2.66
Ir 0.5000 0.5000 0.5000  6 Ir 2.69
Ir 0.4175 0.4175 0.2475  7 Ir 2.65-2.69
Ir 0.9174 0.4175 0.2475  7 Ir 2.65-2.69
Ir 0.4175 0.9174 0.2475  7 Ir 2.65-2.69
Ir 0.5825 0.5825 0.7525  7 Ir 2.65-2.69
Ir 0.5825 0.0826 0.7525  7 Ir 2.65-2.69
Ir 0.0826 0.5825 0.7525  7 Ir 2.65-2.69



# 2
# TbEr2Ir

A geometry-optimized TbEr2Ir structure (PBE-GGA, Alexandria).

Results
As for the electronic total energy: -5.7995 eV per atom. The calculation puts the energy of formation at -145.3 meV/atom. The magnetization is 0.0 μB/cell. As for the space group: R-3m. As for the excess energy over the best structure of this formula in the dataset: 454 meV per atom.

a b c (Å): 3.7161 3.7161 10.6676
angles (deg): 79.97 79.97 60.00
Last column: nearest neighbours and their distance in Å.
Atoms (fractional coordinates):
Ir 0.5000 0.5000 0.5000  6 Er 2.72
Tb 0.0000 0.0000 0.0000  2 Er 3.56, 6 Tb 3.72
Er 0.1135 0.1135 0.6594  3 Ir 2.72
Er 0.8865 0.8865 0.3406  3 Ir 2.72



# 3
# Tb2ErIr

A geometry-optimized Tb2ErIr structure (PBE-GGA, Alexandria).

Results
As for the electronic total energy: -6.2091 eV per atom. The calculation puts the energy of formation at -538.0 meV/atom. The magnetization is 0.0 μB/cell. As for the space group: Cmcm. As for the excess energy over the best structure of this formula in the dataset: 39 meV per atom.

a b c (Å): 3.9013 6.3178 9.1447
angles (deg): 90.00 90.00 107.97
Last column: nearest neighbours and their distance in Å.
Atoms (fractional coordinates):
Tb 0.1408 0.2816 0.4336  3 Ir 2.91-3.16
Tb 0.8592 0.7184 0.5664  3 Ir 2.91-3.16
Tb 0.8592 0.7184 0.9336  3 Ir 2.91-3.16
Tb 0.1408 0.2816 0.0664  3 Ir 2.91-3.16
Er 0.4240 0.8479 0.2500  2 Ir 2.83
Er 0.5760 0.1521 0.7500  2 Ir 2.83
Ir 0.7532 0.5066 0.2500  2 Er 2.83, 6 Tb 2.91-3.16
Ir 0.2468 0.4934 0.7500  2 Er 2.83, 6 Tb 2.91-3.16



# 4
# TbErIr4

A geometry-optimized TbErIr4 structure (PBE-GGA, Alexandria).

Results
As for the electronic total energy: -8.2533 eV per atom. The calculation puts the energy of formation at -813.8 meV/atom. The magnetization is 0.0 μB/cell. As for the space group: F-43m.

a b c (Å): 5.3550 5.3550 5.3550
angles (deg): 60.00 60.00 60.00
Last column: nearest neighbours and their distance in Å.
Atoms (fractional coordinates):
Ir 0.6251 0.6251 0.1248  6 Ir 2.68
Ir 0.6251 0.1248 0.6251  6 Ir 2.68
Ir 0.6251 0.6251 0.6251  6 Ir 2.68
Ir 0.1248 0.6251 0.6251  6 Ir 2.68
Tb 0.2500 0.2500 0.2500  12 Ir 3.14, 4 Er 3.28
Er 0.0000 0.0000 0.0000  12 Ir 3.14, 4 Tb 3.28



# 5
# TbEr2Ir

A geometry-optimized TbEr2Ir structure (PBE-GGA, Alexandria).

Results
As for the electronic total energy: -6.2536 eV per atom. The calculation puts the energy of formation at -599.4 meV/atom. The magnetization is 0.0 μB/cell. As for the space group: Pnma. As for the excess energy over the best structure of this formula in the dataset: 0 meV per atom.

a b c (Å): 6.3728 7.2156 9.1888
angles (deg): 90.00 90.00 90.00
Last column: nearest neighbours and their distance in Å.
Atoms (fractional coordinates):
Tb 0.6301 0.5333 0.2500  2 Ir 2.77-2.88
Tb 0.8699 0.0333 0.2500  2 Ir 2.77-2.88
Tb 0.3699 0.4667 0.7500  2 Ir 2.77-2.88
Tb 0.1301 0.9667 0.7500  2 Ir 2.77-2.88
Er 0.1725 0.6762 0.0629  2 Ir 2.84-2.89
Er 0.3275 0.1762 0.4371  2 Ir 2.84-2.89
Er 0.8275 0.3238 0.5629  2 Ir 2.84-2.89
Er 0.6725 0.8238 0.9371  2 Ir 2.84-2.89
Er 0.8275 0.3238 0.9371  2 Ir 2.84-2.89
Er 0.6725 0.8238 0.5629  2 Ir 2.84-2.89
Er 0.1725 0.6762 0.4371  2 Ir 2.84-2.89
Er 0.3275 0.1762 0.0629  2 Ir 2.84-2.89
Ir 0.0493 0.3831 0.2500  2 Tb 2.77-2.88, 4 Er 2.84-2.89
Ir 0.4507 0.8831 0.2500  2 Tb 2.77-2.88, 4 Er 2.84-2.89
Ir 0.9507 0.6169 0.7500  2 Tb 2.77-2.88, 4 Er 2.84-2.89
Ir 0.5493 0.1169 0.7500  2 Tb 2.77-2.88, 4 Er 2.84-2.89



# 6
# Tb2ErIr

A geometry-optimized Tb2ErIr structure (PBE-GGA, Alexandria).

Results
As for the electronic total energy: -6.2481 eV per atom. The calculation puts the energy of formation at -577.0 meV/atom. The magnetization is 0.0 μB/cell. As for the space group: Pnma. As for the excess energy over the best structure of this formula in the dataset: 0 meV per atom.

a b c (Å): 6.3633 7.2115 9.3608
angles (deg): 90.00 90.00 90.00
Last column: nearest neighbours and their distance in Å.
Atoms (fractional coordinates):
Tb 0.1748 0.6781 0.0630  2 Ir 2.88-2.91
Tb 0.3252 0.1781 0.4370  2 Ir 2.88-2.91
Tb 0.8252 0.3219 0.5630  2 Ir 2.88-2.91
Tb 0.6748 0.8219 0.9370  2 Ir 2.88-2.91
Tb 0.8252 0.3219 0.9370  2 Ir 2.88-2.91
Tb 0.6748 0.8219 0.5630  2 Ir 2.88-2.91
Tb 0.1748 0.6781 0.4370  2 Ir 2.88-2.91
Tb 0.3252 0.1781 0.0630  2 Ir 2.88-2.91
Er 0.6345 0.5352 0.2500  2 Ir 2.76-2.83
Er 0.8655 0.0352 0.2500  2 Ir 2.76-2.83
Er 0.3655 0.4648 0.7500  2 Ir 2.76-2.83
Er 0.1345 0.9648 0.7500  2 Ir 2.76-2.83
Ir 0.0439 0.3835 0.2500  2 Er 2.76-2.83, 4 Tb 2.88-2.91
Ir 0.4561 0.8835 0.2500  2 Er 2.76-2.83, 4 Tb 2.88-2.91
Ir 0.9561 0.6165 0.7500  2 Er 2.76-2.83, 4 Tb 2.88-2.91
Ir 0.5439 0.1165 0.7500  2 Er 2.76-2.83, 4 Tb 2.88-2.91



# 7
# Tb3ErIr4

A geometry-optimized Tb3ErIr4 structure (PBE-GGA, Alexandria).

Results
As for the electronic total energy: -7.5450 eV per atom. The calculation puts the energy of formation at -807.8 meV/atom. The magnetization is 0.0 μB/cell. As for the space group: Pmmm.

a b c (Å): 3.5864 4.7424 9.4860
angles (deg): 90.00 90.00 90.00
Last column: nearest neighbours and their distance in Å.
Atoms (fractional coordinates):
Ir 0.0000 0.0000 0.5000  8 Tb 2.97-2.98
Ir 0.0000 0.5000 0.7528  2 Er 2.95, 6 Tb 2.97-2.99
Ir 0.0000 0.0000 0.0000  4 Tb 2.96, 4 Er 2.97
Ir 0.0000 0.5000 0.2472  2 Er 2.95, 6 Tb 2.97-2.99
Tb 0.5000 0.0000 0.2486  8 Ir 2.96-2.98
Tb 0.5000 0.5000 0.5000  8 Ir 2.97-2.99
Tb 0.5000 0.0000 0.7514  8 Ir 2.96-2.98
Er 0.5000 0.5000 0.0000  8 Ir 2.95-2.97



# 8
# Tb4Er3Ir4

A geometry-optimized Tb4Er3Ir4 structure (PBE-GGA, Alexandria).

Results
As for the electronic total energy: -6.8103 eV per atom. The calculation puts the energy of formation at -660.0 meV/atom. The magnetization is 0.0 μB/cell. As for the space group: Immm.

a b c (Å): 3.7885 8.6471 9.3033
angles (deg): 117.69 101.75 90.00
Last column: nearest neighbours and their distance in Å.
Atoms (fractional coordinates):
Tb 0.3337 0.1442 0.6675  4 Ir 2.79-2.98
Tb 0.6663 0.4768 0.3325  4 Ir 2.79-2.98
Tb 0.6663 0.8558 0.3325  4 Ir 2.79-2.98
Tb 0.3337 0.5232 0.6675  4 Ir 2.79-2.98
Er 0.0993 0.0993 0.1985  6 Ir 3.03-3.09, 1 Er 3.18
Er 0.9007 0.9007 0.8015  6 Ir 3.03-3.09, 1 Er 3.18
Er 0.0000 0.5000 0.0000  4 Ir 3.12
Ir 0.2533 0.7533 0.5066  6 Tb 2.87-2.98, 2 Er 3.03
Ir 0.7467 0.2467 0.4934  6 Tb 2.87-2.98, 2 Er 3.03
Ir 0.5000 0.7866 0.0000  2 Tb 2.79, 6 Er 3.09-3.12
Ir 0.5000 0.2134 0.0000  2 Tb 2.79, 6 Er 3.09-3.12



# 9
# TbErIr2

A geometry-optimized TbErIr2 structure (PBE-GGA, Alexandria).

Results
As for the electronic total energy: -7.5558 eV per atom. The calculation puts the energy of formation at -827.1 meV/atom. The magnetization is 0.0 μB/cell. As for the space group: Pmma. As for the excess energy over the best structure of this formula in the dataset: 5 meV per atom.

a b c (Å): 3.3118 4.9132 9.8293
angles (deg): 90.00 90.00 90.00
Last column: nearest neighbours and their distance in Å.
Atoms (fractional coordinates):
Tb 0.5000 0.2500 0.3739  8 Ir 2.96-3.00, 2 Tb 3.31
Tb 0.5000 0.7500 0.6261  8 Ir 2.96-3.00, 2 Tb 3.31
Er 0.5000 0.2500 0.8763  8 Ir 2.93-2.96
Er 0.5000 0.7500 0.1237  8 Ir 2.93-2.96
Ir 0.0000 0.2500 0.1222  6 Er 2.93-2.96, 2 Tb 2.98
Ir 0.0000 0.7500 0.8778  6 Er 2.93-2.96, 2 Tb 2.98
Ir 0.0000 0.2500 0.6282  2 Er 2.95, 6 Tb 2.96-3.00
Ir 0.0000 0.7500 0.3718  2 Er 2.95, 6 Tb 2.96-3.00



# 10
# Tb3Er2Ir2

A geometry-optimized Tb3Er2Ir2 structure (PBE-GGA, Alexandria).

Results
As for the electronic total energy: -6.4476 eV per atom. The calculation puts the energy of formation at -627.8 meV/atom. The magnetization is 0.0 μB/cell. As for the space group: C2/m.

a b c (Å): 3.8597 6.3034 8.7702
angles (deg): 114.28 90.00 107.83
Last column: nearest neighbours and their distance in Å.
Atoms (fractional coordinates):
Tb 0.5000 0.0000 0.0000  4 Ir 2.96
Tb 0.6180 0.2360 0.4306  3 Ir 2.89
Tb 0.3820 0.7640 0.5694  3 Ir 2.89
Er 0.8315 0.6629 0.1897  2 Ir 2.79
Er 0.1685 0.3371 0.8103  2 Ir 2.79
Ir 0.8202 0.6405 0.7658  2 Er 2.79, 5 Tb 2.89-2.96
Ir 0.1798 0.3595 0.2342  2 Er 2.79, 5 Tb 2.89-2.96